## HoZrCd2 (PBE)

Data for crystalline HoZrCd2 at its relaxed geometry.

Computed properties:
V: 380 Å³/cell
energy above the lowest structure with this stoichiometry: 23 meV/atom

a = 7.2444 Å, b = 7.2444 Å, c = 7.2444 Å
α = 90.00°, β = 90.00°, γ = 90.00°
Space group Fm-3m (No. 225)
Symmetry-distinct sites (fractional):
Ho1 0.0000 0.0000 0.0000 x4
Zr1 0.0000 0.0000 0.5000 x4
Cd1 0.2500 0.2500 0.2500 x8

---

## HoZrCd (PBE)

Data for crystalline HoZrCd at its relaxed geometry.

Computed properties:
V: 333 Å³/cell
energy above the lowest structure with this stoichiometry: 164 meV/atom

a = 3.8108 Å, b = 3.8108 Å, c = 22.9519 Å
α = 90.00°, β = 90.00°, γ = 90.00°
Space group I4/mmm (No. 139)
Symmetry-distinct sites (fractional):
Ho1 0.0000 0.0000 0.1384 x4
Zr1 0.0000 0.0000 0.2783 x4
Cd1 0.0000 0.0000 0.4394 x4

---

## CdI2 (PBE)

Data for crystalline CdI2 at its relaxed geometry.

Computed properties:
formation energy without anion corrections: -0.5699 eV/atom
V: 725 Å³/cell

a = 4.3149 Å, b = 4.3149 Å, c = 44.9743 Å
α = 90.00°, β = 90.00°, γ = 120.00°
Space group P-3m1 (No. 164)
Symmetry-distinct sites (fractional):
Cd1 0.0000 0.0000 0.0000 x1
Cd2 0.0000 0.0000 0.1667 x2
Cd3 0.0000 0.0000 0.5000 x1
Cd4 0.3333 0.6667 0.6666 x2
I1 0.0000 0.0000 0.2949 x2
I2 0.3333 0.6667 0.0385 x2
I3 0.3333 0.6667 0.2051 x2
I4 0.3333 0.6667 0.3718 x2
I5 0.3333 0.6667 0.5385 x2
I6 0.3333 0.6667 0.8718 x2

---

## CdI4 (PBE)

Data for crystalline CdI4 at its relaxed geometry.

Computed properties:
formation energy without anion corrections: 0.0513 eV/atom
V: 207 Å³/cell

a = 5.9171 Å, b = 5.9171 Å, c = 5.9171 Å
α = 90.00°, β = 90.00°, γ = 90.00°
Space group Pm-3m (No. 221)
Symmetry-distinct sites (fractional):
Cd1 0.0000 0.0000 0.0000 x1
I1 0.0000 0.0000 0.5000 x3
I2 0.5000 0.5000 0.5000 x1

---

## CdI2 (PBE)

Data for crystalline CdI2 at its relaxed geometry.

Computed properties:
formation energy without anion corrections: -0.5938 eV/atom
V: 140 Å³/cell

a = 4.4636 Å, b = 4.4636 Å, c = 7.0228 Å
α = 90.00°, β = 90.00°, γ = 90.00°
Space group P-4m2 (No. 115)
Symmetry-distinct sites (fractional):
Cd1 0.0000 0.0000 0.0000 x1
I1 0.0000 0.5000 0.7494 x2

---

## CdI2 (PBE)

Data for crystalline CdI2 at its relaxed geometry.

Computed properties:
formation energy without anion corrections: -0.5699 eV/atom
V: 484 Å³/cell

a = 4.3158 Å, b = 4.3158 Å, c = 30.0191 Å
α = 90.00°, β = 90.00°, γ = 120.00°
Space group P-3m1 (No. 164)
Symmetry-distinct sites (fractional):
Cd1 0.0000 0.0000 0.0000 x1
Cd2 0.0000 0.0000 0.5000 x1
Cd3 0.3333 0.6667 0.2501 x2
I1 0.0000 0.0000 0.3077 x2
I2 0.3333 0.6667 0.0576 x2
I3 0.3333 0.6667 0.5576 x2
I4 0.3333 0.6667 0.8076 x2

---

## CdI (PBE)

Data for crystalline CdI at its relaxed geometry.

Computed properties:
formation energy without anion corrections: -0.2156 eV/atom
V: 842 Å³/cell

a = 9.4414 Å, b = 9.4414 Å, c = 9.4414 Å
α = 90.00°, β = 90.00°, γ = 90.00°
Space group I-43m (No. 217)
Symmetry-distinct sites (fractional):
Cd1 0.1161 0.1161 0.1161 x8
I1 0.2102 0.2102 0.7898 x8

---

## CdI (PBE)

Data for crystalline CdI at its relaxed geometry.

Computed properties:
formation energy without anion corrections: -0.3181 eV/atom
V: 713 Å³/cell

a = 13.1310 Å, b = 13.1310 Å, c = 4.1332 Å
α = 90.00°, β = 90.00°, γ = 90.00°
Space group I4/m (No. 87)
Symmetry-distinct sites (fractional):
Cd1 0.1800 0.2921 0.0000 x8
I1 0.0139 0.2698 0.5000 x8

---

- Look up the V of the second one.
  333 Å³/cell

---

- Number 5 is which compound?
  CdI2

---

- What is the formula in the fourth record?
  CdI4

---

- Number 7 is which compound?
  CdI